Entry 1:
## Ca2PmGa2 (PBE)

Data for an optimized crystal structure of Ca2PmGa2.

Results
Symmetry   No. 11
Energy of formation   -0.36 eV/atom

a = 3.668 Å, b = 5.236 Å, c = 14.523 Å
α = 90.00°, β = 97.25°, γ = 90.00°
Sites, in units of the cell vectors:
Ca (0.958, 0.250, 0.916)
Ca (0.779, 0.250, 0.557)
Ca (0.221, 0.750, 0.443)
Ca (0.042, 0.750, 0.084)
Pm (0.862, 0.750, 0.726)
Pm (0.138, 0.250, 0.274)
Ga (0.634, 0.750, 0.268)
Ga (0.451, 0.750, 0.903)
Ga (0.366, 0.250, 0.732)
Ga (0.549, 0.250, 0.097)

Entry 2:
## Ce3MnB7 (PBE)

Data for an optimized crystal structure of Ce3MnB7.

Results
Symmetry   No. 63
Energy of formation   -0.46 eV/atom

a = 3.460 Å, b = 8.202 Å, c = 9.411 Å
α = 90.00°, β = 90.00°, γ = 102.17°
Sites, in units of the cell vectors:
B (0.726, 0.452, 0.531)
B (0.368, 0.735, 0.345)
B (0.475, 0.949, 0.402)
B (0.274, 0.548, 0.031)
B (0.525, 0.051, 0.598)
B (0.632, 0.265, 0.845)
B (0.532, 0.064, 0.250)
B (0.274, 0.548, 0.469)
B (0.525, 0.051, 0.902)
B (0.368, 0.735, 0.155)
B (0.632, 0.265, 0.655)
B (0.475, 0.949, 0.098)
B (0.726, 0.452, 0.969)
B (0.468, 0.936, 0.750)
Ce (0.105, 0.211, 0.435)
Ce (0.751, 0.503, 0.250)
Ce (0.895, 0.789, 0.565)
Ce (0.895, 0.789, 0.935)
Ce (0.249, 0.497, 0.750)
Ce (0.105, 0.211, 0.065)
Mn (0.057, 0.114, 0.750)
Mn (0.943, 0.886, 0.250)

Entry 3:
## ScFe3Ru (PBE)

Data for an optimized crystal structure of ScFe3Ru.

Results
Symmetry   No. 221
Energy of formation   1.89 eV/atom

a = 4.198 Å, b = 4.198 Å, c = 4.198 Å
α = 90.00°, β = 90.00°, γ = 90.00°
Sites, in units of the cell vectors:
Fe (0.000, 0.500, 0.000)
Fe (0.000, 0.000, 0.500)
Fe (0.500, 0.000, 0.000)
Sc (0.000, 0.000, 0.000)
Ru (0.500, 0.500, 0.500)

Entry 4:
## Rb4Ac3SiO8 (PBE)

Data for an optimized crystal structure of Rb4Ac3SiO8.

Results
Symmetry   No. 12
Formation energy without anion corrections   -2.197 eV per atom

a = 7.274 Å, b = 7.720 Å, c = 7.776 Å
α = 113.50°, β = 117.89°, γ = 90.00°
Sites, in units of the cell vectors:
O (0.296, 0.322, 0.593)
O (0.788, 0.617, 0.923)
O (0.290, 0.736, 0.579)
O (0.135, 0.617, 0.923)
O (0.710, 0.264, 0.421)
O (0.704, 0.678, 0.407)
O (0.212, 0.383, 0.077)
O (0.865, 0.383, 0.077)
Ac (0.500, 0.500, 0.500)
Ac (0.000, 0.500, 0.500)
Ac (0.500, 0.500, 0.000)
Rb (0.500, 0.000, 0.500)
Rb (0.000, 0.000, 0.500)
Rb (0.000, 0.000, 0.000)
Rb (0.500, 0.000, 0.000)
Si (0.000, 0.500, 0.000)

Entry 5:
## SiNiIr2 (PBE)

Data for an optimized crystal structure of SiNiIr2.

Results
Symmetry   No. 38
Formation energy without anion corrections   -0.243 eV per atom

a = 3.843 Å, b = 2.771 Å, c = 5.084 Å
α = 74.21°, β = 90.00°, γ = 90.00°
Sites, in units of the cell vectors:
Ni (0.000, 0.691, 0.493)
Si (0.500, 0.555, 0.763)
Ir (0.000, 0.959, 0.957)
Ir (0.500, 0.294, 0.287)

Entry 6:
## LiAgSn2H (PBE)

Data for an optimized crystal structure of LiAgSn2H.

Results
Symmetry   No. 123
Final energy   -3.19 eV per atom

a = 4.821 Å, b = 4.821 Å, c = 3.886 Å
α = 90.00°, β = 90.00°, γ = 90.00°
Sites, in units of the cell vectors:
Li (0.000, 0.000, 0.500)
Sn (0.500, 0.000, 0.000)
Sn (0.000, 0.500, 0.000)
Ag (0.500, 0.500, 0.500)
H (0.000, 0.000, 0.000)

Entry 7:
## Zn2Ni21B6 (PBE)

Data for an optimized crystal structure of Zn2Ni21B6.

Results
Symmetry   No. 225
Energy of formation   -0.27 eV/atom

a = 7.413 Å, b = 7.413 Å, c = 7.413 Å
α = 60.00°, β = 60.00°, γ = 60.00°
Sites, in units of the cell vectors:
Ni (0.000, 0.663, 0.337)
Ni (0.617, 0.617, 0.617)
Ni (0.149, 0.617, 0.617)
Ni (0.337, 0.000, 0.000)
Ni (0.000, 0.337, 0.663)
Ni (0.663, 0.337, 0.000)
Ni (0.663, 0.000, 0.000)
Ni (0.383, 0.383, 0.383)
Ni (0.337, 0.663, 0.000)
Ni (0.000, 0.663, 0.000)
Ni (0.337, 0.000, 0.663)
Ni (0.663, 0.000, 0.337)
Ni (0.000, 0.000, 0.337)
Ni (0.383, 0.851, 0.383)
Ni (0.851, 0.383, 0.383)
Ni (0.000, 0.000, 0.663)
Ni (0.000, 0.000, 0.000)
Ni (0.617, 0.617, 0.149)
Ni (0.617, 0.149, 0.617)
Ni (0.000, 0.337, 0.000)
Ni (0.383, 0.383, 0.851)
B (0.274, 0.726, 0.726)
B (0.274, 0.274, 0.726)
B (0.726, 0.274, 0.274)
B (0.274, 0.726, 0.274)
B (0.726, 0.726, 0.274)
B (0.726, 0.274, 0.726)
Zn (0.250, 0.250, 0.250)
Zn (0.750, 0.750, 0.750)

Entry 8:
## ScPaSnPb (PBE)

Data for an optimized crystal structure of ScPaSnPb.

Results
Symmetry   No. 216
Energy of formation   -0.13 eV/atom

a = 5.256 Å, b = 5.256 Å, c = 5.256 Å
α = 60.00°, β = 60.00°, γ = 60.00°
Sites, in units of the cell vectors:
Sc (0.500, 0.500, 0.500)
Pa (0.000, 0.000, 0.000)
Sn (0.250, 0.250, 0.250)
Pb (0.750, 0.750, 0.750)

Entry 9:
## LaSm2HoSe5 (PBE)

Data for an optimized crystal structure of LaSm2HoSe5.

Results
Symmetry   No. 123
Formation energy without anion corrections   -1.307 eV per atom

a = 5.135 Å, b = 5.135 Å, c = 11.042 Å
α = 90.00°, β = 90.00°, γ = 90.00°
Sites, in units of the cell vectors:
Sm (0.500, 0.500, 0.339)
Sm (0.500, 0.500, 0.661)
Se (0.000, 0.000, 0.748)
Se (0.000, 0.000, 0.252)
Se (0.000, 0.500, 0.500)
Se (0.500, 0.000, 0.500)
Se (0.500, 0.500, 0.000)
Ho (0.000, 0.000, 0.500)
La (0.000, 0.000, 0.000)

Entry 10:
## CsSi2BiRh (PBE)

Data for an optimized crystal structure of CsSi2BiRh.

Results
Symmetry   No. 123
Formation energy without anion corrections   0.490 eV per atom

a = 4.796 Å, b = 5.929 Å, c = 4.796 Å
α = 90.00°, β = 90.00°, γ = 90.00°
Sites, in units of the cell vectors:
Rh (0.000, 0.000, 0.000)
Cs (0.000, 0.500, 0.000)
Si (0.500, 0.000, 0.000)
Si (0.000, 0.000, 0.500)
Bi (0.500, 0.500, 0.500)

Entry 11:
## AlSe2Br (PBE)

Data for an optimized crystal structure of AlSe2Br.

Results
Symmetry   No. 123
Formation energy without anion corrections   -0.038 eV per atom

a = 3.469 Å, b = 3.469 Å, c = 7.352 Å
α = 90.00°, β = 90.00°, γ = 90.00°
Sites, in units of the cell vectors:
Br (0.500, 0.500, 0.750)
Se (0.000, 0.000, 0.073)
Se (0.000, 0.000, 0.427)
Al (0.500, 0.500, 0.250)

Entry 12:
## ZnNiOs2 (PBE)

Data for an optimized crystal structure of ZnNiOs2.

Results
Symmetry   No. 166
Energy of formation   0.21 eV/atom

a = 8.748 Å, b = 8.748 Å, c = 8.748 Å
α = 17.73°, β = 17.73°, γ = 17.73°
Sites, in units of the cell vectors:
Zn (0.250, 0.250, 0.250)
Os (0.003, 0.003, 0.003)
Os (0.497, 0.497, 0.497)
Ni (0.750, 0.750, 0.750)

Entry 13:
## LiEu2Y (PBE)

Data for an optimized crystal structure of LiEu2Y.

Results
Symmetry   No. 166
Energy of formation   0.26 eV/atom

a = 3.572 Å, b = 3.572 Å, c = 12.656 Å
α = 81.89°, β = 81.89°, γ = 60.00°
Sites, in units of the cell vectors:
Y (0.000, 0.000, 0.000)
Eu (0.091, 0.091, 0.728)
Eu (0.909, 0.909, 0.272)
Li (0.500, 0.500, 0.500)

Entry 14:
## YAlZn (PBE)

Data for an optimized crystal structure of YAlZn.

Results
Symmetry   No. 46
Energy of formation   -0.46 eV/atom

a = 4.510 Å, b = 5.727 Å, c = 5.727 Å
α = 84.34°, β = 66.82°, γ = 66.82°
Sites, in units of the cell vectors:
Zn (0.072, 0.907, 0.848)
Zn (0.573, 0.744, 0.011)
Y (0.368, 0.309, 0.856)
Y (0.868, 0.752, 0.413)
Al (0.653, 0.335, 0.260)
Al (0.153, 0.156, 0.439)

Entry 15:
## Er4Tm3Ir4 (PBE)

Data for an optimized crystal structure of Er4Tm3Ir4.

Results
Symmetry   No. 71
Energy of formation   -0.72 eV/atom

a = 3.772 Å, b = 8.568 Å, c = 9.185 Å
α = 117.80°, β = 101.85°, γ = 90.00°
Sites, in units of the cell vectors:
Er (0.667, 0.477, 0.333)
Er (0.333, 0.143, 0.667)
Er (0.667, 0.857, 0.333)
Er (0.333, 0.523, 0.667)
Tm (0.100, 0.100, 0.200)
Tm (0.900, 0.900, 0.800)
Tm (0.000, 0.500, 0.000)
Ir (0.750, 0.250, 0.499)
Ir (0.250, 0.750, 0.501)
Ir (0.500, 0.788, 0.000)
Ir (0.500, 0.212, 0.000)

Entry 16:
## PmNd2Dy5Mg (PBE)

Data for an optimized crystal structure of PmNd2Dy5Mg.

Results
Symmetry   No. 36
Energy of formation   0.10 eV/atom

a = 5.488 Å, b = 10.422 Å, c = 10.582 Å
α = 90.00°, β = 90.00°, γ = 105.27°
Sites, in units of the cell vectors:
Dy (0.987, 0.973, 0.509)
Dy (0.499, 0.999, 0.758)
Dy (0.711, 0.421, 0.809)
Dy (0.616, 0.231, 0.509)
Dy (0.289, 0.579, 0.309)
Dy (0.384, 0.769, 0.009)
Dy (0.710, 0.419, 0.208)
Dy (0.290, 0.581, 0.708)
Dy (0.501, 0.001, 0.258)
Dy (0.013, 0.027, 0.009)
Mg (0.594, 0.188, 0.006)
Mg (0.406, 0.812, 0.506)
Nd (0.115, 0.231, 0.718)
Nd (0.885, 0.769, 0.218)
Nd (0.115, 0.231, 0.299)
Nd (0.885, 0.769, 0.799)
Pm (0.205, 0.409, 0.009)
Pm (0.795, 0.591, 0.509)

Entry 17:
## Rb2NbSbBr6 (PBE)

Data for an optimized crystal structure of Rb2NbSbBr6.

Results
Symmetry   No. 139
Formation energy without anion corrections   -0.876 eV per atom

a = 7.766 Å, b = 7.766 Å, c = 8.434 Å
α = 62.59°, β = 62.59°, γ = 90.00°
Sites, in units of the cell vectors:
Sb (0.000, 0.000, 0.000)
Nb (0.500, 0.500, 0.000)
Br (0.743, 0.257, 0.000)
Br (0.743, 0.743, 0.000)
Br (0.257, 0.257, 0.000)
Br (0.709, 0.709, 0.582)
Br (0.291, 0.291, 0.418)
Br (0.257, 0.743, 0.000)
Rb (0.250, 0.750, 0.500)
Rb (0.750, 0.250, 0.500)

Entry 18:
## RbY3F (PBE)

Data for an optimized crystal structure of RbY3F.

Results
Symmetry   No. 221
Formation energy without anion corrections   1.241 eV per atom

a = 5.654 Å, b = 5.654 Å, c = 5.654 Å
α = 90.00°, β = 90.00°, γ = 90.00°
Sites, in units of the cell vectors:
Y (0.000, 0.000, 0.500)
Y (0.500, 0.000, 0.000)
Y (0.000, 0.500, 0.000)
F (0.500, 0.500, 0.500)
Rb (0.000, 0.000, 0.000)

Entry 19:
## Pr5Nd6Sm (PBE)

Data for an optimized crystal structure of Pr5Nd6Sm.

Results
Symmetry   No. 12
Energy of formation   0.01 eV/atom

a = 12.241 Å, b = 6.399 Å, c = 6.400 Å
α = 60.00°, β = 84.96°, γ = 79.87°
Sites, in units of the cell vectors:
Pr (0.500, 0.500, 0.000)
Pr (0.000, 0.333, 0.334)
Pr (0.500, 0.167, 0.667)
Pr (0.500, 0.833, 0.333)
Pr (0.000, 0.667, 0.666)
Sm (0.000, 0.000, 0.000)
Nd (0.249, 0.585, 0.333)
Nd (0.751, 0.749, 0.000)
Nd (0.249, 0.918, 0.667)
Nd (0.751, 0.082, 0.333)
Nd (0.249, 0.251, 0.000)
Nd (0.751, 0.415, 0.667)

Entry 20:
## LiNiRh2 (PBE)

Data for an optimized crystal structure of LiNiRh2.

Results
Symmetry   No. 123
Energy of formation   0.04 eV/atom

a = 2.945 Å, b = 2.945 Å, c = 5.830 Å
α = 90.00°, β = 90.00°, γ = 90.00°
Sites, in units of the cell vectors:
Ni (0.500, 0.500, 0.750)
Rh (0.000, 0.000, 0.002)
Rh (0.000, 0.000, 0.498)
Li (0.500, 0.500, 0.250)

Entry 21:
## SmYCdRh (PBE)

Data for an optimized crystal structure of SmYCdRh.

Results
Symmetry   No. 216
Energy of formation   -0.50 eV/atom

a = 5.115 Å, b = 5.115 Å, c = 5.115 Å
α = 60.00°, β = 60.00°, γ = 60.00°
Sites, in units of the cell vectors:
Y (0.750, 0.750, 0.750)
Sm (0.250, 0.250, 0.250)
Rh (0.500, 0.500, 0.500)
Cd (0.000, 0.000, 0.000)

Entry 22:
## TiMo6S8 (PBE)

Data for an optimized crystal structure of TiMo6S8.

Results
Symmetry   No. 148
Formation energy without anion corrections   -0.708 eV per atom

a = 6.406 Å, b = 6.406 Å, c = 6.406 Å
α = 90.96°, β = 90.96°, γ = 90.96°
Sites, in units of the cell vectors:
Ti (0.000, 0.000, 0.000)
S (0.359, 0.132, 0.754)
S (0.775, 0.775, 0.775)
S (0.246, 0.641, 0.868)
S (0.754, 0.359, 0.132)
S (0.641, 0.868, 0.246)
S (0.132, 0.754, 0.359)
S (0.225, 0.225, 0.225)
S (0.868, 0.246, 0.641)
Mo (0.419, 0.554, 0.217)
Mo (0.217, 0.419, 0.554)
Mo (0.554, 0.217, 0.419)
Mo (0.446, 0.783, 0.581)
Mo (0.581, 0.446, 0.783)
Mo (0.783, 0.581, 0.446)

Entry 23:
## CuBiPd4 (PBE)

Data for an optimized crystal structure of CuBiPd4.

Results
Symmetry   No. 14
Energy of formation   -0.16 eV/atom

a = 4.891 Å, b = 8.791 Å, c = 4.817 Å
α = 90.00°, β = 73.37°, γ = 90.00°
Sites, in units of the cell vectors:
Cu (0.500, 0.000, 0.500)
Cu (0.000, 0.500, 0.500)
Bi (0.000, 0.000, 0.000)
Bi (0.500, 0.500, 0.000)
Pd (0.499, 0.161, 0.001)
Pd (0.501, 0.669, 0.499)
Pd (0.501, 0.839, 0.999)
Pd (0.999, 0.339, 0.001)
Pd (0.999, 0.169, 0.501)
Pd (0.499, 0.331, 0.501)
Pd (0.001, 0.831, 0.499)
Pd (0.001, 0.661, 0.999)

Calculated values (μB/cell) of total moment for the records, taken in order: 0.00, 0.05, 0.01, 0.00, 0.00, 0.00, 0.78, 1.92, 0.18, 0.00, 0.00, 0.49, 15.74, 0.00, 0.00, 0.00, 2.00, 0.00, 0.00, 2.00, 0.00, 0.57, 0.00.
Calculated values (states/eV/cell) of D(E_F) for the records, taken in order: 8.224, 20.319, 15.105, 2.055, 5.230, 1.411, 27.622, 7.454, 6.320, 3.901, 1.387, 4.017, 4.935, 5.579, 6.920, 25.510, 6.001, 7.404, 19.635, 5.351, 2.254, 6.718, 4.988.